[1]
Density functional theory data (PBE) for an optimized crystal structure of H2Cl6F.

Geometry as POSCAR:
```
H2Cl6F
1.0
4.2353 0.0000 0.0000
1.8514 7.2063 0.0000
0.2950 1.0169 8.1857
H Cl F
2 6 1
Direct
0.0000 0.0000 0.0000 H
0.0571 0.4386 0.0309 H
0.1717 0.9181 0.1272 Cl
0.2985 0.2425 0.3049 Cl
0.3647 0.4504 0.4223 Cl
0.5819 0.9045 0.6199 Cl
0.7872 0.1080 0.7028 Cl
0.8414 0.4844 0.9165 Cl
0.3916 0.7224 0.5522 F
```

Results
**Volume**: 27.76 A^3/atom
**Fermi-level density of states**: 0.47 states/eV per atom
**Raw total energy**: -22.00 eV per formula unit
**Symmetry**: P1

---

[2]
Density functional theory data (PBE) for an optimized crystal structure of HfH2Cl2F2.

Geometry as POSCAR:
```
HfH2Cl2F2
1.0
12.3778 0.0000 0.0000
0.0000 3.7093 0.0000
-6.0623 0.0000 6.3385
Hf H Cl F
2 4 4 4
Direct
0.0000 0.0000 0.0000 Hf
0.5000 0.5000 0.0000 Hf
0.0066 0.5000 0.5487 H
0.4934 0.0000 0.4513 H
0.5066 0.0000 0.5487 H
0.9934 0.5000 0.4513 H
0.1902 0.5000 0.2174 Cl
0.3098 0.0000 0.7826 Cl
0.6902 0.0000 0.2174 Cl
0.8098 0.5000 0.7826 Cl
0.0344 0.0000 0.8166 F
0.4656 0.5000 0.1834 F
0.5344 0.5000 0.8166 F
0.9656 0.0000 0.1834 F
```

Results
**Volume**: 20.79 A^3/atom
**Fermi-level density of states**: 0.00 states/eV per atom
**Raw total energy**: -37.43 eV per formula unit
**Symmetry**: C2/m

---

[3]
Density functional theory data (PBE) for an optimized crystal structure of H2ICl6F3.

Geometry as POSCAR:
```
H2ICl6F3
1.0
4.9726 -6.9018 0.0000
4.9726 6.9018 0.0000
-3.7407 0.0000 4.8623
H I Cl F
2 1 6 3
Direct
0.1140 0.1140 0.4911 H
0.8860 0.8860 0.5089 H
0.5000 0.5000 0.0000 I
0.0306 0.5404 0.8739 Cl
0.2636 0.2636 0.4810 Cl
0.4596 0.9694 0.1261 Cl
0.5404 0.0306 0.8739 Cl
0.7364 0.7364 0.5190 Cl
0.9694 0.4596 0.1261 Cl
0.0000 0.0000 0.5000 F
0.0000 0.5000 0.5000 F
0.5000 0.0000 0.5000 F
```

Results
**Volume**: 27.81 A^3/atom
**Fermi-level density of states**: 0.62 states/eV per atom
**Raw total energy**: -29.72 eV per formula unit
**Symmetry**: C2/m

---

[4]
Density functional theory data (PBE) for an optimized crystal structure of K6H2Cl3F.

Geometry as POSCAR:
```
K6H2Cl3F
1.0
9.2846 -2.1189 0.0000
9.2846 2.1189 0.0000
-2.0370 0.0000 8.2937
K H Cl F
6 2 3 1
Direct
0.0045 0.0045 0.2285 K
0.3282 0.3282 0.4298 K
0.3425 0.3425 0.9063 K
0.6575 0.6575 0.0937 K
0.6718 0.6718 0.5702 K
0.9955 0.9955 0.7715 K
0.1649 0.1649 0.3300 H
0.8351 0.8351 0.6700 H
0.1675 0.1675 0.8341 Cl
0.5000 0.5000 0.5000 Cl
0.8325 0.8325 0.1659 Cl
0.5000 0.5000 0.0000 F
```

Results
**Volume**: 27.19 A^3/atom
**Fermi-level density of states**: 0.00 states/eV per atom
**Raw total energy**: -38.46 eV per formula unit
**Symmetry**: C2/m

---

[5]
Density functional theory data (PBE) for an optimized crystal structure of K2HClF6.

Geometry as POSCAR:
```
K2HClF6
1.0
5.3700 0.0000 0.0000
-2.4901 5.5970 0.0000
-2.4138 -1.7406 5.5745
K H Cl F
2 1 1 6
Direct
0.0285 0.2165 0.3058 K
0.9715 0.7835 0.6942 K
0.5000 0.0000 0.5000 H
0.5000 0.5000 0.0000 Cl
0.1013 0.2715 0.9057 F
0.3791 0.6003 0.7300 F
0.3958 0.0802 0.5941 F
0.6042 0.9198 0.4059 F
0.6209 0.3997 0.2700 F
0.8987 0.7285 0.0943 F
```

Results
**Volume**: 16.75 A^3/atom
**Fermi-level density of states**: 0.00 states/eV per atom
**Raw total energy**: -36.35 eV per formula unit
**Symmetry**: P-1

---

[6]
Density functional theory data (PBE) for an optimized crystal structure of K4HCl2F.

Geometry as POSCAR:
```
K4HCl2F
1.0
7.2959 0.0000 0.0000
0.0000 4.2093 0.0000
-2.4239 0.0000 6.9578
K H Cl F
4 1 2 1
Direct
0.2346 0.0000 0.2186 K
0.2542 0.5000 0.7790 K
0.7458 0.5000 0.2210 K
0.7654 0.0000 0.7814 K
0.5000 0.0000 0.0000 H
0.0000 0.0000 0.5000 Cl
0.5000 0.5000 0.5000 Cl
0.0000 0.5000 0.0000 F
```

Results
**Volume**: 26.71 A^3/atom
**Fermi-level density of states**: 0.00 states/eV per atom
**Raw total energy**: -26.79 eV per formula unit
**Symmetry**: P2/m

---

[7]
Density functional theory data (PBE) for an optimized crystal structure of K8H3Cl4F.

Geometry as POSCAR:
```
K8H3Cl4F
1.0
4.2489 2.4531 7.0037
-4.2489 2.4531 7.0037
0.0000 -4.9062 7.0037
K H Cl F
8 3 4 1
Direct
0.2420 0.2420 0.2420 K
0.2467 0.7380 0.7380 K
0.2620 0.2620 0.7533 K
0.2620 0.7533 0.2620 K
0.7380 0.2467 0.7380 K
0.7380 0.7380 0.2467 K
0.7533 0.2620 0.2620 K
0.7580 0.7580 0.7580 K
0.0000 0.0000 0.5000 H
0.0000 0.5000 0.0000 H
0.5000 0.0000 0.0000 H
0.0000 0.0000 0.0000 Cl
0.0000 0.5000 0.5000 Cl
0.5000 0.0000 0.5000 Cl
0.5000 0.5000 0.0000 Cl
0.5000 0.5000 0.5000 F
```

Results
**Volume**: 27.38 A^3/atom
**Fermi-level density of states**: 0.00 states/eV per atom
**Raw total energy**: -50.13 eV per formula unit
**Symmetry**: R-3m

---

[8]
Density functional theory data (PBE) for an optimized crystal structure of K6H2ClF3.

Geometry as POSCAR:
```
K6H2ClF3
1.0
8.7892 -2.0033 0.0000
8.7892 2.0033 0.0000
-1.9069 0.0000 7.8530
K H Cl F
6 2 1 3
Direct
0.0039 0.0039 0.2232 K
0.3239 0.3239 0.4170 K
0.3340 0.3340 0.9126 K
0.6660 0.6660 0.0874 K
0.6761 0.6761 0.5830 K
0.9961 0.9961 0.7768 K
0.1688 0.1688 0.8380 H
0.8312 0.8312 0.1620 H
0.5000 0.5000 0.5000 Cl
0.1677 0.1677 0.3280 F
0.5000 0.5000 0.0000 F
0.8323 0.8323 0.6720 F
```

Results
**Volume**: 23.04 A^3/atom
**Fermi-level density of states**: 0.00 states/eV per atom
**Raw total energy**: -41.60 eV per formula unit
**Symmetry**: C2/m

---

[9]
Density functional theory data (PBE) for an optimized crystal structure of KH2ClF8.

Geometry as POSCAR:
```
KH2ClF8
1.0
4.8440 0.0000 0.0000
-1.6238 4.7148 0.0000
-1.1501 -0.9384 7.4226
K H Cl F
1 2 1 8
Direct
0.0000 0.0000 0.0000 K
0.3088 0.5367 0.8034 H
0.6912 0.4633 0.1966 H
0.0000 0.0000 0.5000 Cl
0.2055 0.2189 0.3515 F
0.2165 0.7795 0.4930 F
0.2696 0.2304 0.7068 F
0.3417 0.6836 0.9027 F
0.6583 0.3164 0.0973 F
0.7304 0.7696 0.2932 F
0.7835 0.2205 0.5070 F
0.7945 0.7811 0.6485 F
```

Results
**Volume**: 14.13 A^3/atom
**Fermi-level density of states**: 0.00 states/eV per atom
**Raw total energy**: -40.27 eV per formula unit
**Symmetry**: P-1